Entry 1:
! Tb2PrTmSe6, optimized geometry, DFT PBE-GGA; values from VASP
! * DOS(E_F): 0.000 states/eV per atom
! * total energy: -57.83 eV per formula unit
! * raw formation energy: -1.841 eV per atom
&SYSTEM
  ibrav = 0, nat = 10, ntyp = 4
/
ATOMIC_SPECIES
Tb 158.93 Tb.upf
Se 78.96 Se.upf
Tm 168.93 Tm.upf
Pr 140.91 Pr.upf
CELL_PARAMETERS angstrom
7.2884 0.0006 0.0006
3.6447 6.3116 0.0005
3.6445 2.1045 6.5138
ATOMIC_POSITIONS angstrom
Tb 3.6445 2.1049 6.2755
Se 9.8304 4.3426 1.6148
Se 5.1332 4.1003 4.8956
Se 5.9021 6.3410 1.6138
Se 6.1340 1.9413 1.6139
Tm 3.6443 2.1038 0.2745
Tb 7.2892 4.2083 2.9298
Pr 10.9328 6.3124 3.6641
Se 8.4605 2.3953 4.8957
Se 8.2726 6.1295 4.8953

Entry 2:
! LaPm2Sm2Er, optimized geometry, DFT PBE-GGA; values from VASP
! * formation enthalpy at 0 K: 0.057 eV/atom
! * DOS(E_F): 1.516 states/eV per atom
! * total energy: -28.09 eV per formula unit
&SYSTEM
  ibrav = 0, nat = 12, ntyp = 4
/
ATOMIC_SPECIES
Er 167.26 Er.upf
La 138.91 La.upf
Pm 145.00 Pm.upf
Sm 150.36 Sm.upf
CELL_PARAMETERS angstrom
5.7560 0.0000 0.0000
0.0000 7.1127 0.0000
0.0000 0.0000 9.9459
ATOMIC_POSITIONS angstrom
Er 2.8780 5.3901 3.3228
La 0.0000 3.6113 4.9730
Pm 2.8780 1.8336 3.2720
Pm 2.8780 5.3900 6.6740
Sm 2.8780 3.6094 9.9458
Sm 0.0000 1.8307 1.6709
Pm 0.0000 1.8309 8.3215
Pm 0.0000 5.3872 1.6244
Sm 2.8780 0.0531 0.0002
Sm 0.0000 5.3871 8.2750
Er 2.8780 1.8338 6.6232
La 0.0000 0.0549 4.9729

Entry 3:
! RePb2, optimized geometry, DFT PBE-GGA; values from VASP
! * formation enthalpy at 0 K: 0.676 eV/atom
! * DOS(E_F): 0.776 states/eV per atom
! * total energy: -17.84 eV per formula unit
&SYSTEM
  ibrav = 0, nat = 6, ntyp = 2
/
ATOMIC_SPECIES
Re 186.21 Re.upf
Pb 207.20 Pb.upf
CELL_PARAMETERS angstrom
2.6611 -6.9709 0.0000
2.6611 6.9709 0.0000
0.0000 0.0000 4.2809
ATOMIC_POSITIONS angstrom
Re 0.6543 0.0000 3.2107
Pb 3.8149 -1.9822 3.2107
Re 4.6679 0.0000 1.0702
Pb 3.8149 1.9822 3.2107
Pb 1.5073 1.9822 1.0702
Pb 1.5073 -1.9822 1.0702

Entry 4:
! Ni8P, optimized geometry, DFT PBE-GGA; values from VASP
! * formation enthalpy at 0 K: -0.112 eV/atom
! * DOS(E_F): 1.276 states/eV per atom
! * total energy: -52.67 eV per formula unit
&SYSTEM
  ibrav = 0, nat = 9, ntyp = 2
/
ATOMIC_SPECIES
Ni 58.69 Ni.upf
P 30.97 P.upf
CELL_PARAMETERS angstrom
-2.9661 3.7159 2.8193
0.6187 -5.4299 -0.8290
4.6449 0.6542 2.9242
ATOMIC_POSITIONS angstrom
Ni -0.5866 -2.3548 0.3977
Ni 0.5553 1.4454 1.8996
Ni 1.7409 -1.5795 0.6930
Ni 2.3343 -0.1364 2.6356
Ni -0.0367 -0.9235 2.2789
Ni 3.5227 -3.1962 1.4022
Ni 1.1236 2.9247 3.8439
Ni -1.7608 0.6408 1.5926
P 0.0000 0.0000 0.0000

Entry 5:
! HgMo2Pt, optimized geometry, DFT PBE-GGA; values from VASP
! * formation enthalpy at 0 K: 0.267 eV/atom
! * DOS(E_F): 0.872 states/eV per atom
! * total energy: -26.94 eV per formula unit
&SYSTEM
  ibrav = 0, nat = 4, ntyp = 3
/
ATOMIC_SPECIES
Mo 95.94 Mo.upf
Pt 195.08 Pt.upf
Hg 200.59 Hg.upf
CELL_PARAMETERS angstrom
6.1375 0.0130 0.0248
-2.4443 4.5481 -0.0160
1.2406 0.6752 2.3849
ATOMIC_POSITIONS angstrom
Mo 3.6891 0.3441 1.2049
Mo 0.0000 0.0000 0.0000
Pt -0.6019 2.6117 1.1845
Hg 1.8466 2.2806 0.0044

Entry 6:
! MoIr3Rh, optimized geometry, DFT PBE-GGA; values from VASP
! * formation enthalpy at 0 K: 2.221 eV/atom
! * DOS(E_F): 1.796 states/eV per atom
! * total energy: -33.66 eV per formula unit
&SYSTEM
  ibrav = 0, nat = 5, ntyp = 3
/
ATOMIC_SPECIES
Rh 102.91 Rh.upf
Ir 192.22 Ir.upf
Mo 95.94 Mo.upf
CELL_PARAMETERS angstrom
4.6309 0.0000 0.0000
0.0000 4.6309 0.0000
0.0000 0.0000 4.6309
ATOMIC_POSITIONS angstrom
Rh 0.0000 0.0000 0.0000
Ir 0.0000 2.3154 0.0000
Mo 2.3154 2.3154 2.3154
Ir 2.3154 0.0000 0.0000
Ir 0.0000 0.0000 2.3154

Entry 7:
! BaH3Rh, optimized geometry, DFT PBE-GGA; values from VASP
! * DOS(E_F): 0.000 states/eV per atom
! * total energy: -20.79 eV per formula unit
&SYSTEM
  ibrav = 0, nat = 5, ntyp = 3
/
ATOMIC_SPECIES
Ba 137.33 Ba.upf
Rh 102.91 Rh.upf
H 1.01 H.upf
CELL_PARAMETERS angstrom
-0.8915 3.4262 0.1863
-2.6803 -0.5010 -3.6116
-3.9619 -1.1326 1.8706
ATOMIC_POSITIONS angstrom
Ba -3.2869 -0.7999 -1.0169
Rh -4.3755 0.5963 1.8262
H -3.9260 -1.1149 1.7170
H -1.9763 1.3443 -0.4483
H -5.4957 0.4787 -1.3708

Entry 8:
! VSe2IBr, optimized geometry, DFT PBE-GGA; values from VASP
! * DOS(E_F): 0.792 states/eV per atom
! * total energy: -19.50 eV per formula unit
! * raw formation energy: -0.037 eV per atom
&SYSTEM
  ibrav = 0, nat = 5, ntyp = 4
/
ATOMIC_SPECIES
Se 78.96 Se.upf
I 126.90 I.upf
V 50.94 V.upf
Br 79.90 Br.upf
CELL_PARAMETERS angstrom
4.9032 0.0000 0.0000
0.0000 4.9032 0.0000
0.0000 0.0000 5.0518
ATOMIC_POSITIONS angstrom
Se 2.4516 0.0000 0.0000
I 2.4516 2.4516 2.5259
Se 0.0000 2.4516 0.0000
V 0.0000 0.0000 0.0000
Br 0.0000 0.0000 2.5259

Entry 9:
! DySiI, optimized geometry, DFT PBE-GGA; values from VASP
! * DOS(E_F): 0.592 states/eV per atom
! * total energy: -14.28 eV per formula unit
! * raw formation energy: -0.902 eV per atom
&SYSTEM
  ibrav = 0, nat = 6, ntyp = 3
/
ATOMIC_SPECIES
I 126.90 I.upf
Si 28.09 Si.upf
Dy 162.50 Dy.upf
CELL_PARAMETERS angstrom
3.9225 0.0000 0.0000
1.9612 3.3700 -0.4314
1.9612 -0.8460 13.8744
ATOMIC_POSITIONS angstrom
I 1.9612 0.6872 2.2277
Si 3.9225 0.2041 7.3739
Dy 3.9225 2.6953 8.9974
I 5.8837 1.8369 11.2154
Dy 3.9225 -0.1712 4.4456
Si 3.9225 2.3200 6.0691

Entry 10:
! YFeSiBi2, optimized geometry, DFT PBE-GGA; values from VASP
! * DOS(E_F): 0.906 states/eV per atom
! * total energy: -24.34 eV per formula unit
! * raw formation energy: 0.755 eV per atom
&SYSTEM
  ibrav = 0, nat = 5, ntyp = 4
/
ATOMIC_SPECIES
Si 28.09 Si.upf
Fe 55.84 Fe.upf
Y 88.91 Y.upf
Bi 208.98 Bi.upf
CELL_PARAMETERS angstrom
5.3777 0.0000 0.0000
0.0000 5.3194 0.0000
0.0000 0.0000 5.3777
ATOMIC_POSITIONS angstrom
Si 0.0000 0.0000 0.0000
Fe 2.6889 2.6597 2.6889
Y 0.0000 2.6597 0.0000
Bi 2.6889 0.0000 0.0000
Bi 0.0000 0.0000 2.6889

Entry 11:
! ErPa3, optimized geometry, DFT PBE-GGA; values from VASP
! * formation enthalpy at 0 K: 0.139 eV/atom
! * DOS(E_F): 1.793 states/eV per atom
! * total energy: -32.49 eV per formula unit
&SYSTEM
  ibrav = 0, nat = 4, ntyp = 2
/
ATOMIC_SPECIES
Er 167.26 Er.upf
Pa 231.04 Pa.upf
CELL_PARAMETERS angstrom
4.6771 0.0000 0.0000
0.0000 4.6771 0.0000
-2.3385 -2.3385 4.7064
ATOMIC_POSITIONS angstrom
Er 0.0000 0.0000 0.0000
Pa 2.3385 2.3385 0.0000
Pa 2.3385 0.0000 2.3532
Pa 0.0000 2.3385 2.3532

Entry 12:
! Pm3ThAs3, optimized geometry, DFT PBE-GGA; values from VASP
! * formation enthalpy at 0 K: -1.224 eV/atom
! * DOS(E_F): 0.945 states/eV per atom
! * total energy: -44.19 eV per formula unit
&SYSTEM
  ibrav = 0, nat = 28, ntyp = 3
/
ATOMIC_SPECIES
Th 232.04 Th.upf
As 74.92 As.upf
Pm 145.00 Pm.upf
CELL_PARAMETERS angstrom
8.9801 0.0000 0.0000
0.0000 8.9801 0.0000
0.0000 0.0000 8.9801
ATOMIC_POSITIONS angstrom
Th 0.6150 5.1050 8.3651
As 6.7429 5.6158 0.0055
Pm 7.3365 6.1336 2.8465
Pm 1.6587 7.3214 2.8314
Pm 6.1487 6.1487 6.1487
Pm 1.6436 1.6436 1.6436
As 6.7272 3.3643 4.4955
As 5.6158 0.0055 6.7429
As 3.3643 4.4955 6.7272
Pm 3.9028 5.0773 0.5873
As 2.2372 1.1257 4.4846
Th 3.8751 3.8751 3.8751
As 2.2529 7.8544 8.9746
Pm 5.0773 0.5873 3.9028
As 0.0055 6.7429 5.6158
Pm 6.1336 2.8465 7.3365
As 1.1257 4.4846 2.2372
As 4.4846 2.2372 1.1257
Pm 8.3928 8.3928 8.3928
Th 8.3651 0.6150 5.1050
Pm 2.8314 1.6587 7.3214
As 7.8544 8.9746 2.2529
Pm 2.8465 7.3365 6.1336
As 8.9746 2.2529 7.8544
Th 5.1050 8.3651 0.6150
Pm 7.3214 2.8314 1.6587
As 4.4955 6.7272 3.3643
Pm 0.5873 3.9028 5.0773

Entry 13:
! CdSb2, optimized geometry, DFT PBE-GGA; values from VASP
! * DOS(E_F): 0.465 states/eV per atom
! * total energy: -8.53 eV per formula unit
! * raw formation energy: 0.210 eV per atom
&SYSTEM
  ibrav = 0, nat = 6, ntyp = 2
/
ATOMIC_SPECIES
Sb 121.76 Sb.upf
Cd 112.41 Cd.upf
CELL_PARAMETERS angstrom
-3.7889 3.7889 2.8730
3.7889 -3.7889 2.8730
3.7889 3.7889 -2.8730
ATOMIC_POSITIONS angstrom
Sb -1.0158 2.7731 2.8730
Cd 0.0000 0.0000 4.3095
Sb 4.8047 1.0158 0.0000
Sb 2.7731 1.0158 2.8730
Cd 0.0000 0.0000 1.4365
Sb 1.0158 2.7731 0.0000

Entry 14:
! NpTl3Cl2O6, optimized geometry, DFT PBE-GGA; values from VASP
! * DOS(E_F): 0.285 states/eV per atom
! * total energy: -68.02 eV per formula unit
! * raw formation energy: -1.212 eV per atom
&SYSTEM
  ibrav = 0, nat = 12, ntyp = 4
/
ATOMIC_SPECIES
Cl 35.45 Cl.upf
O 16.00 O.upf
Tl 204.38 Tl.upf
Np 237.00 Np.upf
CELL_PARAMETERS angstrom
5.3765 0.0000 0.2988
0.0000 6.4864 0.0000
-0.4382 -3.2432 7.5542
ATOMIC_POSITIONS angstrom
Cl -0.1094 3.2432 2.6657
Cl 5.0477 0.0000 5.1874
O 2.5206 0.0000 2.4032
Tl 2.4691 -1.6216 3.9265
Tl 0.0000 3.2432 0.0000
O 0.9603 -1.8151 7.5924
Np 2.6883 0.0000 0.1494
Tl 2.4691 1.6216 3.9265
O 3.9780 1.4281 0.2607
O 3.9780 5.0583 0.2607
O 0.9603 1.8151 7.5924
O 2.4177 3.2432 5.4499

Entry 15:
! Ti4CdIn3, optimized geometry, DFT PBE-GGA; values from VASP
! * formation enthalpy at 0 K: -0.040 eV/atom
! * DOS(E_F): 0.996 states/eV per atom
! * total energy: -41.03 eV per formula unit
&SYSTEM
  ibrav = 0, nat = 16, ntyp = 3
/
ATOMIC_SPECIES
In 114.82 In.upf
Ti 47.87 Ti.upf
Cd 112.41 Cd.upf
CELL_PARAMETERS angstrom
-4.9539 2.1928 2.7126
1.8748 -2.2310 5.2274
4.1438 7.3300 1.6421
ATOMIC_POSITIONS angstrom
In -2.1593 -0.4451 7.4354
Ti 0.3170 -1.5410 6.0785
In 0.7941 6.1622 4.1057
Ti 3.2414 5.1023 2.6676
Ti 1.7332 5.0410 6.7291
Cd 1.4515 3.2391 4.2878
In -1.2782 2.4963 3.2844
Cd -3.0974 0.6705 4.8229
In 4.1820 3.9804 5.2902
Ti -0.3370 1.3789 5.9087
Ti -1.9618 5.4501 3.0317
Ti -0.6201 -0.4266 3.4688
In 2.1106 0.3163 4.4694
In 0.5153 4.3538 1.6743
Ti -1.0265 4.3365 5.6424
Ti 1.1678 1.4344 1.8459

Entry 16:
! Pm3Ni2Au3, optimized geometry, DFT PBE-GGA; values from VASP
! * formation enthalpy at 0 K: -0.626 eV/atom
! * DOS(E_F): 0.501 states/eV per atom
! * total energy: -40.65 eV per formula unit
&SYSTEM
  ibrav = 0, nat = 16, ntyp = 3
/
ATOMIC_SPECIES
Pm 145.00 Pm.upf
Ni 58.69 Ni.upf
Au 196.97 Au.upf
CELL_PARAMETERS angstrom
4.0863 0.0000 0.0000
-2.0431 5.1732 0.0000
0.0000 0.0000 16.3933
ATOMIC_POSITIONS angstrom
Pm 0.0000 0.7188 14.6919
Pm 2.0431 4.4544 1.7013
Ni 0.0000 2.3098 1.9598
Ni 2.0431 2.8634 10.1564
Pm 2.0431 1.6168 4.0983
Au 2.0431 1.3312 12.2949
Pm 0.0000 0.7188 9.8980
Ni 0.0000 2.3098 6.2369
Au 0.0000 3.8420 4.0983
Au 0.0000 3.7287 15.8157
Au 2.0431 1.4445 0.5775
Ni 2.0431 2.8634 14.4335
Au 2.0431 1.4445 7.6191
Au 0.0000 3.7287 8.7742
Pm 2.0431 4.4544 6.4953
Pm 0.0000 3.5564 12.2949

Entry 17:
! NiTeAs2Se, optimized geometry, DFT PBE-GGA; values from VASP
! * DOS(E_F): 1.138 states/eV per atom
! * total energy: -19.93 eV per formula unit
! * raw formation energy: 0.355 eV per atom
&SYSTEM
  ibrav = 0, nat = 5, ntyp = 4
/
ATOMIC_SPECIES
Ni 58.69 Ni.upf
Te 127.60 Te.upf
As 74.92 As.upf
Se 78.96 Se.upf
CELL_PARAMETERS angstrom
4.6440 0.0000 0.0000
0.0000 4.6440 0.0000
0.0000 0.0000 4.8662
ATOMIC_POSITIONS angstrom
Ni 0.0000 0.0000 0.0000
Te 2.3220 2.3220 2.4331
As 0.0000 2.3220 0.0000
As 2.3220 0.0000 0.0000
Se 0.0000 0.0000 2.4331

Entry 18:
! Pm3Nd4Dy2, optimized geometry, DFT PBE-GGA; values from VASP
! * formation enthalpy at 0 K: 0.014 eV/atom
! * DOS(E_F): 1.448 states/eV per atom
! * total energy: -42.40 eV per formula unit
&SYSTEM
  ibrav = 0, nat = 9, ntyp = 3
/
ATOMIC_SPECIES
Nd 144.24 Nd.upf
Dy 162.50 Dy.upf
Pm 145.00 Pm.upf
CELL_PARAMETERS angstrom
6.2533 -0.2860 -0.7331
-3.3559 4.2999 -3.1659
-1.6954 -1.0018 12.9666
ATOMIC_POSITIONS angstrom
Nd -0.1546 2.7789 -2.3600
Nd -0.6172 0.5921 3.5473
Dy -1.2316 1.1691 7.0669
Dy 2.4336 1.8430 2.0008
Pm 0.0000 0.0000 0.0000
Nd 1.3566 0.2332 11.4276
Pm 1.9672 -0.3535 7.8721
Pm -0.7652 3.3656 1.1955
Nd 1.8192 2.4200 5.5204

Entry 19:
! Y2ScHg, optimized geometry, DFT PBE-GGA; values from VASP
! * formation enthalpy at 0 K: -0.130 eV/atom
! * DOS(E_F): 1.330 states/eV per atom
! * total energy: -20.08 eV per formula unit
&SYSTEM
  ibrav = 0, nat = 4, ntyp = 3
/
ATOMIC_SPECIES
Y 88.91 Y.upf
Sc 44.96 Sc.upf
Hg 200.59 Hg.upf
CELL_PARAMETERS angstrom
3.5494 0.0000 0.0000
0.0000 4.5738 0.0000
0.0000 0.0000 6.6001
ATOMIC_POSITIONS angstrom
Y 1.7747 2.2869 1.7784
Sc 1.7747 2.2869 4.9415
Hg 0.0000 0.0000 3.3212
Y 0.0000 0.0000 6.4591

Entry 20:
! Pr2MnSi2, optimized geometry, DFT PBE-GGA; values from VASP
! * DOS(E_F): 1.108 states/eV per atom
! * total energy: -25.35 eV per formula unit
! * raw formation energy: 0.845 eV per atom
&SYSTEM
  ibrav = 0, nat = 5, ntyp = 3
/
ATOMIC_SPECIES
Pr 140.91 Pr.upf
Mn 54.94 Mn.upf
Si 28.09 Si.upf
CELL_PARAMETERS angstrom
-1.1003 -2.7371 -0.6434
2.1751 -0.3908 -2.0574
8.2973 -5.6496 9.8452
ATOMIC_POSITIONS angstrom
Pr 3.6603 -3.6903 2.3551
Pr 5.7118 -5.0872 4.7894
Mn 0.5374 -1.5640 -1.3504
Si 1.9485 -2.5248 0.3240
Si 7.4236 -6.2528 6.8205

Entry 21:
! YAl2In2, optimized geometry, DFT PBE-GGA; values from VASP
! * formation enthalpy at 0 K: -0.106 eV/atom
! * DOS(E_F): 0.328 states/eV per atom
! * total energy: -19.96 eV per formula unit
&SYSTEM
  ibrav = 0, nat = 5, ntyp = 3
/
ATOMIC_SPECIES
Y 88.91 Y.upf
Al 26.98 Al.upf
In 114.82 In.upf
CELL_PARAMETERS angstrom
-4.1351 -1.1837 -0.8241
1.3670 -2.4183 -3.3856
-0.7374 -6.6571 1.6249
ATOMIC_POSITIONS angstrom
Y 0.0000 0.0000 0.0000
Al -2.2511 -7.4846 -1.2277
In -3.1283 -4.8209 -0.6520
In -0.3772 -5.4382 -1.9328
Al -1.2544 -2.7745 -1.3571

Entry 22:
! KNdZnTe3, optimized geometry, DFT PBE-GGA; values from VASP
! * total energy: -22.96 eV per formula unit
! * raw formation energy: -1.067 eV per atom
&SYSTEM
  ibrav = 0, nat = 12, ntyp = 4
/
ATOMIC_SPECIES
Nd 144.24 Nd.upf
Te 127.60 Te.upf
Zn 65.41 Zn.upf
K 39.10 K.upf
CELL_PARAMETERS angstrom
4.4786 0.0000 0.0000
0.0000 9.7980 -0.2521
0.0000 -2.8424 10.1742
ATOMIC_POSITIONS angstrom
Nd 1.1196 6.2167 1.2626
Te 1.1196 6.4713 4.5650
Te 3.3589 0.4842 5.3571
Te 1.1196 2.9417 8.3177
Te 3.3589 4.0138 1.6044
Zn 1.1196 -0.9100 6.1623
K 3.3589 5.5878 7.5442
Nd 3.3589 0.7389 8.6596
Zn 3.3589 7.8656 3.7598
Te 3.3589 8.4803 1.1836
K 1.1196 1.3677 2.3779
Te 1.1196 -1.5247 8.7386